Entry 1:
Crystalline MnIn2Rh at its relaxed geometry. Source: Alexandria via LeMat-Bulk, functional PBE-GGA.

Values from the calculation:
- Calculated formation energy: 0.45 eV/f.u.
- Crystal system: trigonal
- Fermi-level density of states: 3.65 states/eV/f.u.

abc: 9.179 9.179 9.179
angles: 19.76 19.76 19.76
Positions (direct):
Mn  0.000  0.000  0.000
In  0.520  0.520  0.520
In  0.753  0.753  0.753
Rh  0.265  0.265  0.265

---

Entry 2:
Crystalline CsMgAu3 at its relaxed geometry. Source: Alexandria via LeMat-Bulk, functional PBE-GGA.

Values from the calculation:
- Calculated formation energy: -0.55 eV/f.u.
- Relative energy among the computed polymorphs: 0.000 eV per atom
- Crystal system: cubic
- Fermi-level density of states: 0.80 states/eV/f.u.

abc: 5.346 5.346 5.346
angles: 90.00 90.00 90.00
Positions (direct):
Cs  0.000  0.000  0.000
Mg  0.500  0.500  0.500
Au  0.000  0.500  0.500
Au  0.500  0.000  0.500
Au  0.500  0.500  0.000

---

Entry 3:
Crystalline Pa2TiNbN6 at its relaxed geometry. Source: Alexandria via LeMat-Bulk, functional PBE-GGA.

Values from the calculation:
- Formation energy without anion corrections: -12.640 eV per formula unit
- Crystal system: tetragonal
- Fermi-level density of states: 5.94 states/eV/f.u.

abc: 5.331 5.331 4.934
angles: 90.00 90.00 90.00
Positions (direct):
Pa  0.000  0.500  0.000
Pa  0.500  0.000  0.000
Ti  0.000  0.000  0.592
Nb  0.500  0.500  0.589
N  0.000  0.000  0.217
N  0.248  0.248  0.753
N  0.248  0.752  0.753
N  0.500  0.500  0.203
N  0.752  0.248  0.753
N  0.752  0.752  0.753

---

Entry 4:
Crystalline YEr2HgC at its relaxed geometry. Source: Alexandria via LeMat-Bulk, functional PBE-GGA.

Values from the calculation:
- Calculated formation energy: -2.01 eV/f.u.
- Crystal system: tetragonal
- Fermi-level density of states: 7.00 states/eV/f.u.

abc: 4.842 4.842 4.929
angles: 90.00 90.00 90.00
Positions (direct):
Y  0.000  0.000  0.000
Er  0.000  0.500  0.500
Er  0.500  0.000  0.500
Hg  0.500  0.500  0.000
C  0.000  0.000  0.500

---

Entry 5:
Crystalline MnP4 at its relaxed geometry. Source: Alexandria via LeMat-Bulk, functional PBE-GGA.

Values from the calculation:
- Calculated formation energy: 1.84 eV/f.u.
- Crystal system: tetragonal
- Fermi-level density of states: 2.44 states/eV/f.u.

abc: 5.024 5.024 5.024
angles: 124.48 124.48 82.41
Positions (direct):
Mn  0.000  0.000  0.000
P  0.250  0.750  0.500
P  0.314  0.314  0.000
P  0.686  0.686  0.000
P  0.750  0.250  0.500

---

Entry 6:
Crystalline Li3HgB at its relaxed geometry. Source: Alexandria via LeMat-Bulk, functional PBE-GGA.

Values from the calculation:
- Calculated formation energy: 1.64 eV/f.u.
- Relative energy among the computed polymorphs: 0.000 eV per atom
- Crystal system: cubic
- Fermi-level density of states: 2.14 states/eV/f.u.

abc: 4.338 4.338 4.338
angles: 90.00 90.00 90.00
Positions (direct):
Li  0.000  0.000  0.500
Li  0.000  0.500  0.000
Li  0.500  0.000  0.000
Hg  0.500  0.500  0.500
B  0.000  0.000  0.000

---

Entry 7:
Crystalline AlSn2Au8 at its relaxed geometry. Source: Alexandria via LeMat-Bulk, functional PBE-GGA.

Values from the calculation:
- Calculated formation energy: -1.14 eV/f.u.
- Crystal system: monoclinic
- Fermi-level density of states: 4.28 states/eV/f.u.

abc: 7.389 7.389 7.350
angles: 98.55 98.55 34.23
Positions (direct):
Al  0.000  0.000  0.000
Sn  0.347  0.347  0.456
Sn  0.653  0.653  0.544
Au  0.126  0.126  0.779
Au  0.152  0.152  0.281
Au  0.316  0.316  0.964
Au  0.491  0.491  0.783
Au  0.509  0.509  0.217
Au  0.684  0.684  0.036
Au  0.848  0.848  0.719
Au  0.874  0.874  0.221

---

Entry 8:
Crystalline Tl2TcW at its relaxed geometry. Source: Alexandria via LeMat-Bulk, functional PBE-GGA.

Values from the calculation:
- Calculated formation energy: 3.99 eV/f.u.
- Relative energy among the computed polymorphs: 0.550 eV per atom
- Crystal system: monoclinic
- Fermi-level density of states: 4.38 states/eV/f.u.

abc: 5.013 5.013 5.260
angles: 100.82 100.82 35.86
Positions (direct):
Tl  0.247  0.247  0.247
Tl  0.753  0.753  0.753
Tc  0.500  0.500  0.000
W  0.000  0.000  0.500